The following is a PBE-GGA calculation of a relaxed CoSb2Pb crystal, from Alexandria via LeMat-Bulk.

```
CoSb2Pb
1.0
-2.4174 2.4174 4.0853
2.4174 -2.4174 4.0853
2.4174 2.4174 -4.0853
Co Sb Pb
1 2 1
Direct
0.0000 0.0000 0.0000
0.2500 0.7500 0.5000
0.7500 0.2500 0.5000
0.5000 0.5000 0.0000
```

Computed properties:
* ΔE_f (raw): 2.17 eV per formula unit
* M_tot: 1.45 μB per formula unit
* E_tot: -4.2228 eV/atom



The following is a PBE-GGA calculation of a relaxed CdGeCl4 crystal, from Alexandria via LeMat-Bulk.

```
CdGeCl4
1.0
8.5322 -1.9802 0.0000
8.5322 1.9802 0.0000
-8.0092 0.0000 10.2124
Cd Ge Cl
2 2 8
Direct
0.0000 0.5000 0.0000
0.5000 0.0000 0.5000
0.2167 0.7833 0.7500
0.7833 0.2167 0.2500
0.0513 0.5717 0.6739
0.1562 0.7131 0.0703
0.2869 0.8438 0.4297
0.4283 0.9487 0.8261
0.5717 0.0513 0.1739
0.7131 0.1562 0.5703
0.8438 0.2869 0.9297
0.9487 0.4283 0.3261
```

Computed properties:
* offset from the most stable computed form: 0.000 eV/atom
* ΔE_f (raw): -5.53 eV per formula unit
* M_tot: 0.00 μB per formula unit
* E_tot: -3.0750 eV/atom



The following is a PBE-GGA calculation of a relaxed AlCdRu2 crystal, from Alexandria via LeMat-Bulk.

```
AlCdRu2
1.0
3.0314 0.0000 0.0000
0.0000 4.4044 0.0000
0.0000 0.0000 4.6866
Al Cd Ru
1 1 2
Direct
0.0000 0.0000 0.0000
0.5000 0.0000 0.5000
0.0000 0.5000 0.5000
0.5000 0.5000 0.0000
```

Computed properties:
* offset from the most stable computed form: 0.270 eV/atom
* M_tot: 1.11 μB per formula unit
* formation energy: 0.8 eV per formula unit
* E_tot: -5.6084 eV/atom



The following is a PBE-GGA calculation of a relaxed ScTl crystal, from Alexandria via LeMat-Bulk.

```
ScTl
1.0
5.9023 0.0000 0.0000
0.0000 5.9023 0.0000
0.0000 0.0000 5.9965
Sc Tl
4 4
Direct
0.2015 0.2015 0.0000
0.2985 0.7015 0.5000
0.7015 0.2985 0.5000
0.7985 0.7985 0.0000
0.1993 0.1993 0.5000
0.3007 0.6993 0.0000
0.6993 0.3007 0.0000
0.8007 0.8007 0.5000
```

Computed properties:
* M_tot: 0.22 μB per formula unit
* formation energy: 0.1 eV per formula unit
* E_tot: -4.3159 eV/atom



Among the records above, which one has the lowest M_tot?
CdGeCl4



Number 1 is which compound?
CoSb2Pb